Zr4SiF2: optimized geometry, PBE.

Geometry as extended XYZ:
```
7
Lattice="-0.9368 -3.0524 3.7911 4.8516 -0.2767 0.9761 1.5049 2.8609 5.9156" Properties=species:S:1:pos:R:3 pbc="T T T"
Zr -0.4684 -1.5262 1.8956
Zr 3.7081 -1.2616 6.3808
Zr 1.7117 0.7934 4.3019
Zr 2.4258 -0.1384 0.4880
F 1.8748 -0.8383 3.0285
F 3.5450 0.3700 7.6542
Si 0.0000 0.0000 0.0000
```

uncorrected formation energy	-784	meV/atom
density of states at the Fermi level	6.39	states/eV/cell
total magnetization	0.0	μB/f.u.
space group	I4/mmm
total energy	-0.513	Ry/atom